# BaAsSe2N, optimized geometry, DFT PBE-GGA
# - space-group type = P4/mmm
# - calculated total energy (eV per atom) = -4.308
# - E_form (uncorrected) (eV per atom) = 0.065
# - magnetization (Bohr magnetons per cell) = 0.00
data_BaAsSe2N
_chemical_formula_sum 'Ba1 As1 Se2 N1'
_cell_length_a 5.0703
_cell_length_b 5.0703
_cell_length_c 4.2964
_cell_angle_alpha 90.00
_cell_angle_beta 90.00
_cell_angle_gamma 90.00
_space_group_name_H-M_alt 'P 1'
_space_group_IT_number 1
loop_
_space_group_symop_operation_xyz
'x,y,z'
loop_
_atom_site_label
_atom_site_type_symbol
_atom_site_fract_x
_atom_site_fract_y
_atom_site_fract_z
_atom_site_occupancy
Ba1 Ba 0.0000 0.0000 0.0000 1
As1 As 0.5000 0.5000 0.0000 1
Se1 Se 0.0000 0.5000 0.5000 1
Se2 Se 0.5000 0.0000 0.5000 1
N1 N 0.5000 0.5000 0.5000 1

=====

# BePdSe, optimized geometry, DFT PBE-GGA
# - space-group type = Pm
# - calculated total energy (eV per atom) = -4.472
# - E_form (uncorrected) (eV per atom) = -0.338
# - magnetization (Bohr magnetons per cell) = 0.00
data_BePdSe
_chemical_formula_sum 'Be2 Pd2 Se2'
_cell_length_a 3.5648
_cell_length_b 3.5280
_cell_length_c 7.9668
_cell_angle_alpha 90.00
_cell_angle_beta 94.95
_cell_angle_gamma 90.00
_space_group_name_H-M_alt 'P 1'
_space_group_IT_number 1
loop_
_space_group_symop_operation_xyz
'x,y,z'
loop_
_atom_site_label
_atom_site_type_symbol
_atom_site_fract_x
_atom_site_fract_y
_atom_site_fract_z
_atom_site_occupancy
Be1 Be 0.0000 0.0000 0.0000 1
Be2 Be 0.4324 0.5000 0.6553 1
Pd1 Pd 0.0430 0.0000 0.5423 1
Pd2 Pd 0.4432 0.5000 0.3670 1
Se1 Se 0.5286 0.0000 0.1592 1
Se2 Se 0.9526 0.5000 0.8272 1

=====

# HoScTlIr, optimized geometry, DFT PBE-GGA
# - space-group type = F-43m
# - calculated total energy (eV per atom) = -6.022
# - magnetization (Bohr magnetons per cell) = 0.00
# - E_form (eV per formula unit) = -1.9
data_HoScTlIr
_chemical_formula_sum 'Ho1 Sc1 Tl1 Ir1'
_cell_length_a 4.9519
_cell_length_b 4.9519
_cell_length_c 4.9519
_cell_angle_alpha 60.00
_cell_angle_beta 60.00
_cell_angle_gamma 60.00
_space_group_name_H-M_alt 'P 1'
_space_group_IT_number 1
loop_
_space_group_symop_operation_xyz
'x,y,z'
loop_
_atom_site_label
_atom_site_type_symbol
_atom_site_fract_x
_atom_site_fract_y
_atom_site_fract_z
_atom_site_occupancy
Ho1 Ho 0.0000 0.0000 0.0000 1
Sc1 Sc 0.5000 0.5000 0.5000 1
Tl1 Tl 0.7500 0.7500 0.7500 1
Ir1 Ir 0.2500 0.2500 0.2500 1

=====

# FeAsS2, optimized geometry, DFT PBE-GGA
# - space-group type = I-42d
# - calculated total energy (eV per atom) = -5.244
# - E_form (uncorrected) (eV per atom) = 0.098
# - magnetization (Bohr magnetons per cell) = 0.00
data_FeAsS2
_chemical_formula_sum 'Fe2 As2 S4'
_cell_length_a 6.1643
_cell_length_b 6.1643
_cell_length_c 6.1643
_cell_angle_alpha 124.72
_cell_angle_beta 124.72
_cell_angle_gamma 82.00
_space_group_name_H-M_alt 'P 1'
_space_group_IT_number 1
loop_
_space_group_symop_operation_xyz
'x,y,z'
loop_
_atom_site_label
_atom_site_type_symbol
_atom_site_fract_x
_atom_site_fract_y
_atom_site_fract_z
_atom_site_occupancy
Fe1 Fe 0.0000 0.0000 0.0000 1
Fe2 Fe 0.7500 0.2500 0.5000 1
As1 As 0.2500 0.7500 0.5000 1
As2 As 0.5000 0.5000 0.0000 1
S1 S 0.0593 0.6250 0.9343 1
S2 S 0.3750 0.3093 0.4343 1
S3 S 0.6907 0.1250 0.0657 1
S4 S 0.8750 0.9407 0.5657 1